KPd2Pt2 | PBE-GGA | optimized geometry

Summary:
Polymorph energy (0 for the lowest one) ... 17 meV per atom
DOS at the Fermi energy ... 1.34 states/eV/atom
E_form ... 7 meV per atom
Total moment ... 0.00 μB/f.u.

Cell lengths 8.1929, 8.1929, 2.7345 Å; angles 90.00, 90.00, 90.00 degrees
Sites, in units of the cell vectors:
1 K 0.0000 0.0000 0.0000
2 K 0.5000 0.5000 0.0000
3 Pd 0.1247 0.3753 0.0000
4 Pd 0.3753 0.8753 0.0000
5 Pd 0.6247 0.1247 0.0000
6 Pd 0.8753 0.6247 0.0000
7 Pt 0.1728 0.6728 0.5000
8 Pt 0.3272 0.1728 0.5000
9 Pt 0.6728 0.8272 0.5000
10 Pt 0.8272 0.3272 0.5000

Pm7Nd3Er2 | PBE-GGA | optimized geometry

Summary:
Polymorph energy (0 for the lowest one) ... 191 meV per atom
DOS at the Fermi energy ... 1.71 states/eV/atom
E_form ... 278 meV per atom
Total moment ... 0.00 μB/f.u.

Cell lengths 11.9853, 11.9853, 11.9853 Å; angles 32.06, 32.06, 32.06 degrees
Sites, in units of the cell vectors:
1 Pm 0.0000 0.0000 0.0000
2 Pm 0.0855 0.0855 0.5797
3 Pm 0.0855 0.5797 0.0855
4 Pm 0.4203 0.9145 0.9145
5 Pm 0.5797 0.0855 0.0855
6 Pm 0.9145 0.4203 0.9145
7 Pm 0.9145 0.9145 0.4203
8 Nd 0.3467 0.3467 0.3467
9 Nd 0.5000 0.5000 0.5000
10 Nd 0.6533 0.6533 0.6533
11 Er 0.1662 0.1662 0.1662
12 Er 0.8338 0.8338 0.8338

TaTiPt2 | PBE-GGA | optimized geometry

Summary:
DOS at the Fermi energy ... 0.78 states/eV/atom
E_form ... -780 meV per atom
Total moment ... 0.54 μB/f.u.

Cell lengths 2.8232, 2.8232, 8.0375 Å; angles 90.00, 90.00, 90.00 degrees
Sites, in units of the cell vectors:
1 Ta 0.0000 0.0000 0.0000
2 Ti 0.0000 0.0000 0.5000
3 Pt 0.5000 0.5000 0.2543
4 Pt 0.5000 0.5000 0.7457

TbHo3Er6 | PBE-GGA | optimized geometry

Summary:
Polymorph energy (0 for the lowest one) ... 25 meV per atom
DOS at the Fermi energy ... 1.42 states/eV/atom
E_form ... 149 meV per atom
Total moment ... 0.00 μB/f.u.

Cell lengths 10.8340, 10.8340, 6.1159 Å; angles 90.00, 90.00, 119.68 degrees
Sites, in units of the cell vectors:
1 Tb 0.2080 0.7920 0.5000
2 Tb 0.7920 0.2080 0.0000
3 Ho 0.0628 0.2802 0.6962
4 Ho 0.2802 0.0628 0.1962
5 Ho 0.3906 0.6094 0.5819
6 Ho 0.6094 0.3906 0.0819
7 Ho 0.7198 0.9372 0.6962
8 Ho 0.9372 0.7198 0.1962
9 Er 0.0389 0.4594 0.2902
10 Er 0.0480 0.9520 0.7338
11 Er 0.2843 0.7157 0.0105
12 Er 0.2887 0.3824 0.1207
13 Er 0.3824 0.2887 0.6207
14 Er 0.4594 0.0389 0.7902
15 Er 0.5406 0.9611 0.2902
16 Er 0.6176 0.7113 0.1207
17 Er 0.7113 0.6176 0.6207
18 Er 0.7157 0.2843 0.5105
19 Er 0.9520 0.0480 0.2338
20 Er 0.9611 0.5406 0.7902

V2NiAu | PBE-GGA | optimized geometry

Summary:
Polymorph energy (0 for the lowest one) ... 455 meV per atom
DOS at the Fermi energy ... 1.29 states/eV/atom
E_form ... 398 meV per atom
Total moment ... 0.00 μB/f.u.

Cell lengths 3.5955, 3.5955, 18.3126 Å; angles 90.00, 90.00, 90.00 degrees
Sites, in units of the cell vectors:
1 V 0.2359 0.2500 0.1250
2 V 0.2500 0.7359 0.3750
3 V 0.2500 0.7641 0.8750
4 V 0.2641 0.2500 0.6250
5 V 0.7359 0.7500 0.6250
6 V 0.7500 0.2359 0.8750
7 V 0.7500 0.2641 0.3750
8 V 0.7641 0.7500 0.1250
9 Ni 0.0000 0.0000 0.0000
10 Ni 0.0000 0.5000 0.2500
11 Ni 0.5000 0.0000 0.7500
12 Ni 0.5000 0.5000 0.5000
13 Au 0.0000 0.0000 0.5000
14 Au 0.0000 0.5000 0.7500
15 Au 0.5000 0.0000 0.2500
16 Au 0.5000 0.5000 0.0000

PuGeBiAu | PBE-GGA | optimized geometry

Summary:
DOS at the Fermi energy ... 3.18 states/eV/atom
E_form ... -194 meV per atom
Total moment ... 5.84 μB/f.u.

Cell lengths 7.2858, 7.2858, 7.2858 Å; angles 90.00, 90.00, 90.00 degrees
Sites, in units of the cell vectors:
1 Pu 0.0000 0.0000 0.0000
2 Pu 0.0000 0.5000 0.5000
3 Pu 0.5000 0.0000 0.5000
4 Pu 0.5000 0.5000 0.0000
5 Ge 0.2500 0.2500 0.2500
6 Ge 0.2500 0.7500 0.7500
7 Ge 0.7500 0.2500 0.7500
8 Ge 0.7500 0.7500 0.2500
9 Bi 0.0000 0.0000 0.5000
10 Bi 0.0000 0.5000 0.0000
11 Bi 0.5000 0.0000 0.0000
12 Bi 0.5000 0.5000 0.5000
13 Au 0.2500 0.2500 0.7500
14 Au 0.2500 0.7500 0.2500
15 Au 0.7500 0.2500 0.2500
16 Au 0.7500 0.7500 0.7500

La3Pm5Ho | PBE-GGA | optimized geometry

Summary:
DOS at the Fermi energy ... 1.62 states/eV/atom
E_form ... 394 meV per atom
Total moment ... 0.00 μB/f.u.

Cell lengths 7.4330, 7.4330, 13.3044 Å; angles 102.86, 102.86, 70.99 degrees
Sites, in units of the cell vectors:
1 La 0.0000 0.0000 0.0000
2 La 0.0000 0.0000 0.5000
3 La 0.2743 0.2743 0.5491
4 La 0.4420 0.4420 0.7877
5 La 0.5580 0.5580 0.2123
6 La 0.7257 0.7257 0.4509
7 Pm 0.0239 0.6427 0.2195
8 Pm 0.2638 0.2638 0.0423
9 Pm 0.3160 0.6840 0.0000
10 Pm 0.3573 0.9761 0.7805
11 Pm 0.4207 0.4207 0.3821
12 Pm 0.5793 0.5793 0.6179
13 Pm 0.6427 0.0239 0.2195
14 Pm 0.6840 0.3160 0.0000
15 Pm 0.7362 0.7362 0.9577
16 Pm 0.9761 0.3573 0.7805
17 Ho 0.1201 0.1201 0.2647
18 Ho 0.8799 0.8799 0.7353

Dy6Al2Ag | PBE-GGA | optimized geometry

Summary:
DOS at the Fermi energy ... 1.21 states/eV/atom
E_form ... -6 meV per atom
Total moment ... 0.00 μB/f.u.

Cell lengths 8.7194, 8.7194, 8.7194 Å; angles 146.78, 131.49, 60.06 degrees
Sites, in units of the cell vectors:
1 Dy 0.0813 0.8336 0.2477
2 Dy 0.2491 0.5000 0.7491
3 Dy 0.4141 0.1664 0.2477
4 Dy 0.5859 0.8336 0.7523
5 Dy 0.7509 0.5000 0.2509
6 Dy 0.9187 0.1664 0.7523
7 Al 0.3334 0.3334 0.0000
8 Al 0.6666 0.6666 0.0000
9 Ag 0.0000 0.0000 0.0000

no.,E_tot (eV per atom)
1,-4.7064
2,-4.4452
3,-8.7372
4,-4.4252
5,-6.4260
6,-6.7213
7,-4.3967
8,-4.2230